Below is an optimized crystal structure of CaSm4Zn5, with properties calculated at the PBE-GGA level.

Values from the calculation:
- energy relative to the elements (meV/atom) = -307
- DOS(E_F) (states/eV per cell) = 9.7
- E_tot (eV per atom) = -3.03

a = 3.643 Å, b = 3.643 Å, c = 18.308 Å
α = 90.00°, β = 90.00°, γ = 90.00°
Space group P4/mmm (No. 123)
Unique sites:
Ca 0.000 0.000 0.000 x1
Sm 0.000 0.000 0.202 x2
Sm 0.000 0.000 0.400 x2
Zn 0.500 0.500 0.106 x2
Zn 0.500 0.500 0.301 x2
Zn 0.500 0.500 0.500 x1